This record from Alexandria via LeMat-Bulk describes an optimized crystal structure of La2Nd6Ho5. The functional is PBE.

Properties
The magnetization is 0.0 μB per cell. The calculation puts the calculated total energy at -4.619 eV/atom. For the calculated formation energy, the calculation gives 0.10 eV/atom.

abc: 11.909 20.600 3.666
angles: 90.00 90.00 90.00
Atoms (fractional coordinates):
1 La 0.167 0.218 0.000
2 La 0.333 0.718 0.000
3 La 0.667 0.282 0.000
4 La 0.833 0.782 0.000
5 Nd 0.059 0.924 0.000
6 Nd 0.079 0.636 0.000
7 Nd 0.179 0.376 0.500
8 Nd 0.321 0.876 0.500
9 Nd 0.421 0.136 0.000
10 Nd 0.441 0.424 0.000
11 Nd 0.559 0.576 0.000
12 Nd 0.579 0.864 0.000
13 Nd 0.679 0.124 0.500
14 Nd 0.821 0.624 0.500
15 Nd 0.921 0.364 0.000
16 Nd 0.941 0.076 0.000
17 Ho 0.000 0.500 0.500
18 Ho 0.094 0.779 0.500
19 Ho 0.200 0.055 0.500
20 Ho 0.300 0.555 0.500
21 Ho 0.406 0.279 0.500
22 Ho 0.500 0.000 0.500
23 Ho 0.594 0.721 0.500
24 Ho 0.700 0.445 0.500
25 Ho 0.800 0.945 0.500
26 Ho 0.906 0.221 0.500